DFT (meta-GGA SCAN) results for a crystal of Cu2AgPS4 relaxed with PBEsol.

abc: 7.5073 6.2238 6.1188
angles: 90.00 90.00 90.00
Atoms (fractional coordinates):
Cu: 0.2480 0.1804 0.0000
Cu: 0.2520 0.8196 0.5000
Cu: 0.7480 0.8196 0.5000
Cu: 0.7520 0.1804 0.0000
Ag: 0.0000 0.3542 0.5013
Ag: 0.5000 0.6458 0.0013
P: 0.0000 0.6855 0.0093
P: 0.5000 0.3145 0.5093
S: 0.0000 0.3623 0.0992
S: 0.0000 0.7181 0.6708
S: 0.2249 0.8391 0.1334
S: 0.2751 0.1609 0.6334
S: 0.5000 0.2819 0.1708
S: 0.5000 0.6377 0.5992
S: 0.7249 0.1609 0.6334
S: 0.7751 0.8391 0.1334

Properties
Energy relative to the elements, uncorrected   -0.33 eV per atom
Magnetization   0.00 Bohr magnetons per cell
Symmetry   Pmn2_1

DFT (meta-GGA SCAN) results for a crystal of YMgCd3 relaxed with PBEsol.

abc: 5.7087 5.7087 5.7087
angles: 90.00 90.00 90.00
Atoms (fractional coordinates):
Y: 0.0000 0.0000 0.0000
Mg: 0.5000 0.5000 0.5000
Cd: 0.0000 0.0000 0.5000
Cd: 0.0000 0.5000 0.0000
Cd: 0.5000 0.0000 0.0000

Properties
Energy of formation from the pure elements   0.7868 eV per atom
Magnetization   0.00 Bohr magnetons per cell
Symmetry   Pm-3m

DFT (meta-GGA SCAN) results for a crystal of InAg2Pt relaxed with PBEsol.

abc: 2.9629 2.9629 7.8656
angles: 90.00 90.00 90.00
Atoms (fractional coordinates):
In: 0.0000 0.0000 0.0000
Ag: 0.5000 0.5000 0.2644
Ag: 0.5000 0.5000 0.7356
Pt: 0.0000 0.0000 0.5000

Properties
Energy of formation from the pure elements   0.0589 eV per atom
Magnetization   0.00 Bohr magnetons per cell
Symmetry   P4/mmm

DFT (meta-GGA SCAN) results for a crystal of Zn4Cd3 relaxed with PBEsol.

abc: 3.5624 3.5624 19.2225
angles: 90.00 90.00 90.00
Atoms (fractional coordinates):
Zn: 0.0000 0.0000 0.0704
Zn: 0.0000 0.0000 0.3612
Zn: 0.0000 0.0000 0.6388
Zn: 0.0000 0.0000 0.9296
Zn: 0.5000 0.5000 0.1388
Zn: 0.5000 0.5000 0.4296
Zn: 0.5000 0.5000 0.5704
Zn: 0.5000 0.5000 0.8612
Cd: 0.0000 0.0000 0.2098
Cd: 0.0000 0.0000 0.5000
Cd: 0.0000 0.0000 0.7902
Cd: 0.5000 0.5000 0.0000
Cd: 0.5000 0.5000 0.2902
Cd: 0.5000 0.5000 0.7098

Properties
Energy of formation from the pure elements   0.0951 eV per atom
Magnetization   0.00 Bohr magnetons per cell
Symmetry   I4/mmm